# SrZnRh2 GGA-PBE optimized geometry
data_SrZnRh2
_chemical_formula_sum 'Sr2 Zn2 Rh4'
_symmetry_space_group_name_H-M 'I -4 m 2'
_symmetry_Int_Tables_number 119
_symmetry_space_group_name_Hall 'I -4 -2'
_cell_length_a 4.079
_cell_length_b 4.079
_cell_length_c 8.818
_cell_angle_alpha 90.00
_cell_angle_beta 90.00
_cell_angle_gamma 90.00
loop_
_atom_site_label
_atom_site_type_symbol
_atom_site_fract_x
_atom_site_fract_y
_atom_site_fract_z
_atom_site_occupancy
Sr1 Sr 0.000 0.000 0.000 1
Zn1 Zn 0.000 0.500 0.750 1
Rh1 Rh 0.000 0.000 0.500 1
Rh2 Rh 0.000 0.500 0.250 1
# - E_form: 0.07 eV/atom
# - DOS at the Fermi energy: 4.9 states/eV per cell